FeTeAs2F: relaxed, PBE with a Hubbard U.

Calculated values
**DFT total energy**: -15.51 eV/f.u.
**Crystal system**: tetragonal

Cell lengths 5.3193, 5.3193, 5.3804 Å; angles 90.00, 90.00, 90.00 degrees
With the nearest neighbours (Å) after each atom.
Sites, in units of the cell vectors:
Fe1 0.0000 0.0000 0.0000  2 Te 2.69
Te1 0.0000 0.0000 0.5000  4 As 2.66, 2 Fe 2.69
As1 0.0000 0.5000 0.5000  2 Te 2.66
As2 0.5000 0.0000 0.5000  2 Te 2.66
F1 0.5000 0.5000 0.0000  4 Fe 3.76, 8 As 3.78